Record 1
# RbPmPbF6, optimized geometry, DFT PBE
data_RbPmPbF6
_chemical_formula_sum 'Rb4 Pm4 Pb4 F24'
_cell_length_a 8.005
_cell_length_b 8.295
_cell_length_c 11.703
_cell_angle_alpha 90.00
_cell_angle_beta 90.00
_cell_angle_gamma 90.00
_symmetry_space_group_name_H-M 'I m m a'
_symmetry_Int_Tables_number 74
_symmetry_space_group_name_Hall '-I 2b 2'
loop_
_atom_site_label
_atom_site_fract_x
_atom_site_fract_y
_atom_site_fract_z
Rb1 0.000 0.250 0.140
Pm1 0.000 0.000 0.500
Pb1 0.250 0.250 0.750
F1 0.000 0.250 0.580
F2 0.000 0.250 0.864
F3 0.199 0.027 0.367
# E_tot, eV per atom: -5.43
# Uncorrected formation energy, meV per atom: -3134
# Magnetization, μB per atom: 0.000

---

Record 2
# PmTl2PbF6, optimized geometry, DFT PBE
data_PmTl2PbF6
_chemical_formula_sum 'Pm2 Tl4 Pb2 F12'
_cell_length_a 6.582
_cell_length_b 9.477
_cell_length_c 6.994
_cell_angle_alpha 90.00
_cell_angle_beta 90.00
_cell_angle_gamma 90.00
_symmetry_space_group_name_H-M 'P m m n'
_symmetry_Int_Tables_number 59
loop_
_symmetry_equiv_pos_as_xyz
'x,y,z'
'-x,-y,-z'
'-x+1/2,-y+1/2,z'
'x+1/2,y+1/2,-z'
'x+1/2,-y,-z'
'-x+1/2,y,z'
'-x,y+1/2,-z'
'x,-y+1/2,z'
loop_
_atom_site_label
_atom_site_fract_x
_atom_site_fract_y
_atom_site_fract_z
Pm1 0.250 0.250 0.227
Tl1 0.250 0.510 0.765
Pb1 0.250 0.750 0.270
F1 0.010 0.250 0.990
F2 0.011 0.750 0.562
F3 0.250 0.010 0.202
# E_tot, eV per atom: -4.98
# Uncorrected formation energy, meV per atom: -2536
# Magnetization, μB per atom: 0.000

---

Record 3
# PrPb2F8, optimized geometry, DFT PBE
data_PrPb2F8
_chemical_formula_sum 'Pr2 Pb4 F16'
_cell_length_a 14.650
_cell_length_b 4.040
_cell_length_c 5.782
_cell_angle_alpha 90.00
_cell_angle_beta 110.06
_cell_angle_gamma 90.00
_symmetry_space_group_name_H-M 'C 1 2/m 1'
_symmetry_Int_Tables_number 12
loop_
_symmetry_equiv_pos_as_xyz
'x,y,z'
'-x,-y,-z'
'-x,y,-z'
'x,-y,z'
'x+1/2,y+1/2,z'
'-x+1/2,-y+1/2,-z'
'-x+1/2,y+1/2,-z'
'x+1/2,-y+1/2,z'
loop_
_atom_site_label
_atom_site_fract_x
_atom_site_fract_y
_atom_site_fract_z
Pr1 0.000 0.000 0.000
Pb1 0.178 0.500 0.679
F1 0.029 0.500 0.808
F2 0.095 0.000 0.432
F3 0.163 0.000 0.957
F4 0.213 0.500 0.310
# Offset from the most stable computed form, meV per atom: 0
# E_tot, eV per atom: -5.29
# Uncorrected formation energy, meV per atom: -2819
# Magnetization, μB per atom: 0.000

---

Record 4
# Pr2PbF, optimized geometry, DFT PBE
data_Pr2PbF
_chemical_formula_sum 'Pr6 Pb3 F3'
_cell_length_a 4.8099
_cell_length_b 4.8099
_cell_length_c 23.4220
_cell_angle_alpha 90.00
_cell_angle_beta 90.00
_cell_angle_gamma 120.00
_symmetry_space_group_name_H-M 'R -3 m'
_symmetry_Int_Tables_number 166
_symmetry_space_group_name_Hall '-R 3 2"'
loop_
_atom_site_label
_atom_site_fract_x
_atom_site_fract_y
_atom_site_fract_z
Pr1 0.0000 0.0000 0.0989
Pb1 0.0000 0.0000 0.5000
F1 0.0000 0.0000 0.0000
# Offset from the most stable computed form, meV per atom: 0
# E_tot, eV per atom: -5.17
# Uncorrected formation energy, meV per atom: -1390
# Magnetization, μB per atom: 0.000

---

Record 5
# Pr2PbF, optimized geometry, DFT PBE
data_Pr2PbF
_chemical_formula_sum 'Pr2 Pb1 F1'
_cell_length_a 3.487
_cell_length_b 3.487
_cell_length_c 8.225
_cell_angle_alpha 90.00
_cell_angle_beta 90.00
_cell_angle_gamma 90.00
_symmetry_space_group_name_H-M 'P 4/m m m'
_symmetry_Int_Tables_number 123
_symmetry_space_group_name_Hall '-P 4 2'
loop_
_atom_site_label
_atom_site_fract_x
_atom_site_fract_y
_atom_site_fract_z
Pr1 0.000 0.000 0.225
Pb1 0.500 0.500 0.500
F1 0.500 0.500 0.000
# Offset from the most stable computed form, meV per atom: 218
# E_tot, eV per atom: -4.96
# Uncorrected formation energy, meV per atom: -1172
# Magnetization, μB per atom: 0.004

---

Record 6
# PrPb2F8, optimized geometry, DFT PBE
data_PrPb2F8
_chemical_formula_sum 'Pr2 Pb4 F16'
_cell_length_a 17.600
_cell_length_b 3.920
_cell_length_c 5.516
_cell_angle_alpha 90.00
_cell_angle_beta 101.60
_cell_angle_gamma 90.00
_symmetry_space_group_name_H-M 'C 1 2/m 1'
_symmetry_Int_Tables_number 12
loop_
_symmetry_equiv_pos_as_xyz
'x,y,z'
'-x,-y,-z'
'-x,y,-z'
'x,-y,z'
'x+1/2,y+1/2,z'
'-x+1/2,-y+1/2,-z'
'-x+1/2,y+1/2,-z'
'x+1/2,-y+1/2,z'
loop_
_atom_site_label
_atom_site_fract_x
_atom_site_fract_y
_atom_site_fract_z
Pr1 0.000 0.000 0.000
Pb1 0.156 0.500 0.547
F1 0.025 0.500 0.248
F2 0.094 0.000 0.740
F3 0.128 0.000 0.274
F4 0.245 0.000 0.687
# Offset from the most stable computed form, meV per atom: 14
# E_tot, eV per atom: -5.27
# Uncorrected formation energy, meV per atom: -2805
# Magnetization, μB per atom: 0.000

---

Record 7
# RbPrPbF6, optimized geometry, DFT PBE
data_RbPrPbF6
_chemical_formula_sum 'Rb4 Pr4 Pb4 F24'
_cell_length_a 8.515
_cell_length_b 8.912
_cell_length_c 12.759
_cell_angle_alpha 90.00
_cell_angle_beta 90.00
_cell_angle_gamma 90.00
_symmetry_space_group_name_H-M 'I m m a'
_symmetry_Int_Tables_number 74
_symmetry_space_group_name_Hall '-I 2b 2'
loop_
_atom_site_label
_atom_site_fract_x
_atom_site_fract_y
_atom_site_fract_z
Rb1 0.000 0.250 0.047
Pr1 0.000 0.000 0.500
Pb1 0.250 0.250 0.750
F1 0.000 0.250 0.447
F2 0.000 0.250 0.840
F3 0.200 0.054 0.616
# E_tot, eV per atom: -5.42
# Uncorrected formation energy, meV per atom: -3120
# Magnetization, μB per atom: 0.000

---

Record 8
# PtPbF5, optimized geometry, DFT PBE
data_PtPbF5
_chemical_formula_sum 'Pt4 Pb4 F20'
_cell_length_a 9.102
_cell_length_b 6.298
_cell_length_c 8.890
_cell_angle_alpha 90.00
_cell_angle_beta 112.47
_cell_angle_gamma 90.00
_symmetry_space_group_name_H-M 'C 1 2/c 1'
_symmetry_Int_Tables_number 15
loop_
_symmetry_equiv_pos_as_xyz
'x,y,z'
'-x,-y,-z'
'-x,y,-z+1/2'
'x,-y,z+1/2'
'x+1/2,y+1/2,z'
'-x+1/2,-y+1/2,-z'
'-x+1/2,y+1/2,-z+1/2'
'x+1/2,-y+1/2,z+1/2'
loop_
_atom_site_label
_atom_site_fract_x
_atom_site_fract_y
_atom_site_fract_z
Pt1 0.000 0.000 0.000
Pb1 0.000 0.463 0.250
F1 0.000 0.066 0.250
F2 0.075 0.302 0.018
F3 0.217 0.116 0.624
# E_tot, eV per atom: -4.44
# Uncorrected formation energy, meV per atom: -1715
# Magnetization, μB per atom: 0.000

---

Record 9
# PtPbF2, optimized geometry, DFT PBE
data_PtPbF2
_chemical_formula_sum 'Pt3 Pb3 F6'
_cell_length_a 3.1394
_cell_length_b 3.1394
_cell_length_c 24.2201
_cell_angle_alpha 90.00
_cell_angle_beta 90.00
_cell_angle_gamma 120.00
_symmetry_space_group_name_H-M 'R -3 m'
_symmetry_Int_Tables_number 166
_symmetry_space_group_name_Hall '-R 3 2"'
loop_
_atom_site_label
_atom_site_fract_x
_atom_site_fract_y
_atom_site_fract_z
Pt1 0.0000 0.0000 0.0000
Pb1 0.0000 0.0000 0.5000
F1 0.0000 0.0000 0.0835
# Offset from the most stable computed form, meV per atom: 3
# E_tot, eV per atom: -4.33
# Uncorrected formation energy, meV per atom: -957
# Magnetization, μB per atom: 0.000

---

Record 10
# PtPbF3, optimized geometry, DFT PBE
data_PtPbF3
_chemical_formula_sum 'Pt1 Pb1 F3'
_cell_length_a 4.426
_cell_length_b 4.426
_cell_length_c 4.426
_cell_angle_alpha 90.00
_cell_angle_beta 90.00
_cell_angle_gamma 90.00
_symmetry_space_group_name_H-M 'P m -3 m'
_symmetry_Int_Tables_number 221
_symmetry_space_group_name_Hall '-P 4 2 3'
loop_
_atom_site_label
_atom_site_fract_x
_atom_site_fract_y
_atom_site_fract_z
Pt1 0.000 0.000 0.000
Pb1 0.500 0.500 0.500
F1 0.000 0.000 0.500
# Offset from the most stable computed form, meV per atom: 0
# E_tot, eV per atom: -4.04
# Uncorrected formation energy, meV per atom: -970
# Magnetization, μB per atom: 0.000

---

Record 11
# PtPbF2, optimized geometry, DFT PBE
data_PtPbF2
_chemical_formula_sum 'Pt4 Pb4 F8'
_cell_length_a 4.085
_cell_length_b 4.085
_cell_length_c 16.154
_cell_angle_alpha 90.00
_cell_angle_beta 90.00
_cell_angle_gamma 90.00
_symmetry_space_group_name_H-M 'I -4 2 d'
_symmetry_Int_Tables_number 122
_symmetry_space_group_name_Hall 'I -4 2bw'
loop_
_atom_site_label
_atom_site_fract_x
_atom_site_fract_y
_atom_site_fract_z
Pt1 0.000 0.000 0.000
Pb1 0.000 0.000 0.500
F1 0.219 0.250 0.125
# Offset from the most stable computed form, meV per atom: 0
# E_tot, eV per atom: -4.33
# Uncorrected formation energy, meV per atom: -960
# Magnetization, μB per atom: 0.000

---

Record 12
# PtPbF6, optimized geometry, DFT PBE
data_PtPbF6
_chemical_formula_sum 'Pt2 Pb2 F12'
_cell_length_a 6.500
_cell_length_b 7.326
_cell_length_c 4.976
_cell_angle_alpha 90.00
_cell_angle_beta 103.87
_cell_angle_gamma 90.00
_symmetry_space_group_name_H-M 'C 1 2/m 1'
_symmetry_Int_Tables_number 12
loop_
_symmetry_equiv_pos_as_xyz
'x,y,z'
'-x,-y,-z'
'-x,y,-z'
'x,-y,z'
'x+1/2,y+1/2,z'
'-x+1/2,-y+1/2,-z'
'-x+1/2,y+1/2,-z'
'x+1/2,-y+1/2,z'
loop_
_atom_site_label
_atom_site_fract_x
_atom_site_fract_y
_atom_site_fract_z
Pt1 0.000 0.000 0.000
Pb1 0.000 0.500 0.500
F1 0.112 0.179 0.294
F2 0.207 0.500 0.045
# E_tot, eV per atom: -4.39
# Uncorrected formation energy, meV per atom: -1772
# Magnetization, μB per atom: 0.000